Entry 1:
This record from Alexandria via LeMat-Bulk describes an optimized crystal structure of CaSc2Rh. The functional is PBE-GGA.

Cell: 11.7038 3.4697 4.9998 Å, 90.00 115.28 90.00°
Space group Cm (No. 8)
Unique sites:
Ca 0.0000 0.0000 0.0000
Sc 0.1015 0.5000 0.6014
Sc 0.2956 0.5000 0.2956
Rh 0.2791 0.0000 0.7780

## Properties
E_form (eV/atom): -0.30
Crystal system: monoclinic
Total energy (eV per atom): -5.80
Distance to the lowest polymorph of the same formula (eV/atom): 0.0977

Entry 2:
This record from Alexandria via LeMat-Bulk describes an optimized crystal structure of Al7GaAg3. The functional is PBE-GGA.

Cell: 10.0937 8.6419 5.7898 Å, 90.00 124.36 90.00°
Space group C2/m (No. 12)
Unique sites:
Al 0.0000 0.0000 0.0000
Al 0.1825 0.2557 0.7264
Al 0.2336 0.5000 0.4459
Ga 0.0000 0.0000 0.5000
Ag 0.0000 0.3255 0.0000
Ag 0.0000 0.5000 0.5000

## Properties
E_form (eV/atom): 0.11
Crystal system: monoclinic
Total energy (eV per atom): -3.32

Entry 3:
This record from Alexandria via LeMat-Bulk describes an optimized crystal structure of TaIn2W. The functional is PBE-GGA.

Cell: 7.6499 7.6499 5.7093 Å, 90.00 90.00 90.00°
Space group I-42d (No. 122)
Unique sites:
Ta 0.0000 0.0000 0.0000
In 0.2432 0.2500 0.6250
W 0.0000 0.0000 0.5000

## Properties
E_form (eV/atom): 1.02
Crystal system: tetragonal
Total energy (eV per atom): -6.55
Distance to the lowest polymorph of the same formula (eV/atom): 0.7005

Entry 4:
This record from Alexandria via LeMat-Bulk describes an optimized crystal structure of K2CrGeC. The functional is PBE-GGA.

Cell: 6.7090 6.7090 3.6442 Å, 90.00 90.00 90.00°
Space group P4/mmm (No. 123)
Unique sites:
K 0.0000 0.5000 0.0000
Cr 0.0000 0.0000 0.5000
Ge 0.5000 0.5000 0.0000
C 0.5000 0.5000 0.5000

## Properties
E_form (eV/atom): 1.19
Crystal system: tetragonal
Total energy (eV per atom): -3.95

Entry 5:
This record from Alexandria via LeMat-Bulk describes an optimized crystal structure of Pm2EuP. The functional is PBE-GGA.

Cell: 3.6419 3.6419 9.2067 Å, 90.00 90.00 90.00°
Space group P4/mmm (No. 123)
Unique sites:
Pm 0.0000 0.0000 0.1727
Eu 0.5000 0.5000 0.5000
P 0.5000 0.5000 0.0000

## Properties
E_form (eV/atom): -0.51
Crystal system: tetragonal
Total energy (eV per atom): -6.81
Distance to the lowest polymorph of the same formula (eV/atom): 0.1888

Entry 6:
This record from Alexandria via LeMat-Bulk describes an optimized crystal structure of Tb8PrEr2. The functional is PBE-GGA.

Cell: 16.5437 6.6705 6.6437 Å, 90.00 99.77 90.00°
Space group C2/m (No. 12)
Unique sites:
Tb 0.0896 0.0000 0.4077
Tb 0.0903 0.2355 0.9114
Tb 0.2429 0.5000 0.8065
Pr 0.0000 0.5000 0.5000
Er 0.2069 0.5000 0.2974

## Properties
E_form (eV/atom): 0.17
Crystal system: monoclinic
Total energy (eV per atom): -4.46
Distance to the lowest polymorph of the same formula (eV/atom): 0.0594

Entry 7:
This record from Alexandria via LeMat-Bulk describes an optimized crystal structure of SbTe4Au. The functional is PBE-GGA.

Cell: 8.8840 8.8840 8.8840 Å, 90.00 90.00 90.00°
Space group F-43m (No. 216)
Unique sites:
Sb 0.0000 0.0000 0.0000
Te 0.1246 0.1246 0.6246
Au 0.2500 0.2500 0.2500

## Properties
Formation energy without anion corrections (eV/atom): 0.62
Crystal system: cubic
Total energy (eV per atom): -2.71
Distance to the lowest polymorph of the same formula (eV/atom): 0.6168

Entry 8:
This record from Alexandria via LeMat-Bulk describes an optimized crystal structure of PaWAu. The functional is PBE-GGA.

Cell: 3.0797 3.0797 44.3441 Å, 90.00 90.00 120.00°
Space group R-3m (No. 166, hexagonal axes)
Unique sites:
Pa 0.0000 0.0000 0.0864
W 0.0000 0.0000 0.1884
Au 0.0000 0.0000 0.3600

## Properties
E_form (eV/atom): 0.23
Crystal system: trigonal
Total energy (eV per atom): -8.34

Entry 9:
This record from Alexandria via LeMat-Bulk describes an optimized crystal structure of Ac4DyTe5. The functional is PBE-GGA.

Cell: 4.6183 4.6183 57.9513 Å, 90.00 90.00 120.00°
Space group R-3m (No. 166, hexagonal axes)
Unique sites:
Ac 0.0000 0.0000 0.1038
Ac 0.0000 0.0000 0.2987
Dy 0.0000 0.0000 0.5000
Te 0.0000 0.0000 0.0000
Te 0.0000 0.0000 0.1947
Te 0.0000 0.0000 0.4027

## Properties
Formation energy without anion corrections (eV/atom): -1.44
Crystal system: trigonal
Total energy (eV per atom): -5.12
Distance to the lowest polymorph of the same formula (eV/atom): 0.0000

Entry 10:
This record from Alexandria via LeMat-Bulk describes an optimized crystal structure of Tm2SiSn2Rh4. The functional is PBE-GGA.

Cell: 6.2180 6.2180 8.9512 Å, 90.00 90.00 90.00°
Space group I4/mmm (No. 139)
Unique sites:
Tm 0.0000 0.0000 0.1982
Si 0.0000 0.0000 0.5000
Sn 0.0000 0.5000 0.2500
Rh 0.2424 0.2424 0.0000

## Properties
Formation energy without anion corrections (eV/atom): -0.45
Crystal system: tetragonal
Total energy (eV per atom): -6.21

Entry 11:
This record from Alexandria via LeMat-Bulk describes an optimized crystal structure of CuN. The functional is PBE-GGA.

Cell: 7.0539 7.0539 3.6734 Å, 90.00 90.00 90.00°
Space group I4/m (No. 87)
Unique sites:
Cu 0.0917 0.2735 0.0000
N 0.1562 0.3295 0.5000

## Properties
Formation energy without anion corrections (eV/atom): 0.92
Crystal system: tetragonal
Total energy (eV per atom): -5.29
Distance to the lowest polymorph of the same formula (eV/atom): 0.5435

Entry 12:
This record from Alexandria via LeMat-Bulk describes an optimized crystal structure of SrZnGe2Au. The functional is PBE-GGA.

Cell: 4.4403 4.4403 10.8641 Å, 90.00 90.00 90.00°
Space group I-4m2 (No. 119)
Unique sites:
Sr 0.0000 0.0000 0.0000
Zn 0.0000 0.5000 0.2500
Ge 0.0000 0.0000 0.3826
Au 0.0000 0.5000 0.7500

## Properties
E_form (eV/atom): -0.45
Crystal system: tetragonal
Total energy (eV per atom): -3.54

Entry 13:
This record from Alexandria via LeMat-Bulk describes an optimized crystal structure of Zn2Pb. The functional is PBE-GGA.

Cell: 5.7053 4.3943 10.9740 Å, 90.00 90.00 90.00°
Space group Pnma (No. 62)
Unique sites:
Zn 0.0016 0.2500 0.1805
Zn 0.0029 0.2500 0.9406
Pb 0.0022 0.2500 0.6498

## Properties
E_form (eV/atom): 0.12
Crystal system: orthorhombic
Total energy (eV per atom): -1.96

Entry 14:
This record from Alexandria via LeMat-Bulk describes an optimized crystal structure of BPRhAu. The functional is PBE-GGA.

Cell: 5.9737 2.9824 6.5396 Å, 90.00 96.88 90.00°
Space group Cm (No. 8)
Unique sites:
B 0.0000 0.0000 0.0000
P 0.3176 0.0000 0.1100
Rh 0.1807 0.5000 0.8165
Au 0.3233 0.0000 0.4834

## Properties
E_form (eV/atom): 0.07
Crystal system: monoclinic
Total energy (eV per atom): -5.61
Distance to the lowest polymorph of the same formula (eV/atom): 0.1222

Entry 15:
This record from Alexandria via LeMat-Bulk describes an optimized crystal structure of CuAg3Os. The functional is PBE-GGA.

Cell: 4.6480 4.6480 4.6480 Å, 90.00 90.00 90.00°
Space group Pm-3m (No. 221)
Unique sites:
Cu 0.0000 0.0000 0.0000
Ag 0.0000 0.0000 0.5000
Os 0.5000 0.5000 0.5000

## Properties
E_form (eV/atom): 1.53
Crystal system: cubic
Total energy (eV per atom): -3.25
Distance to the lowest polymorph of the same formula (eV/atom): 0.0000

Entry 16:
This record from Alexandria via LeMat-Bulk describes an optimized crystal structure of NbZn3Os. The functional is PBE-GGA.

Cell: 4.6493 4.6493 4.6493 Å, 90.00 90.00 90.00°
Space group Pm-3m (No. 221)
Unique sites:
Nb 0.0000 0.0000 0.0000
Zn 0.0000 0.5000 0.5000
Os 0.5000 0.5000 0.5000

## Properties
E_form (eV/atom): 1.11
Crystal system: cubic
Total energy (eV per atom): -3.92
Distance to the lowest polymorph of the same formula (eV/atom): 0.0000

Entry 17:
This record from Alexandria via LeMat-Bulk describes an optimized crystal structure of LaEr4Ga4. The functional is PBE-GGA.

Cell: 9.2891 9.2891 5.8342 Å, 90.00 90.00 90.00°
Space group P4_2/n (No. 86, origin choice 2)
Unique sites:
La 0.2500 0.2500 0.2500
Er 0.0838 0.6521 0.1316
Ga 0.0345 0.6062 0.6304

## Properties
E_form (eV/atom): -0.35
Crystal system: tetragonal
Total energy (eV per atom): -4.27

Entry 18:
This record from Alexandria via LeMat-Bulk describes an optimized crystal structure of Cs2SeF. The functional is PBE-GGA.

Cell: 8.3163 8.3163 8.3163 Å, 90.00 90.00 90.00°
Space group Fm-3m (No. 225)
Unique sites:
Cs 0.2500 0.2500 0.2500
Se 0.0000 0.0000 0.0000
F 0.0000 0.0000 0.5000

## Properties
Formation energy without anion corrections (eV/atom): -1.36
Crystal system: cubic
Total energy (eV per atom): -3.13
Distance to the lowest polymorph of the same formula (eV/atom): 0.1611

Entry 19:
This record from Alexandria via LeMat-Bulk describes an optimized crystal structure of SrTlOs2Cl. The functional is PBE-GGA.

Cell: 5.5359 5.5359 6.8550 Å, 90.00 90.00 90.00°
Space group P4/mmm (No. 123)
Unique sites:
Sr 0.0000 0.0000 0.0000
Tl 0.0000 0.0000 0.5000
Os 0.0000 0.5000 0.0000
Cl 0.5000 0.5000 0.5000

## Properties
Formation energy without anion corrections (eV/atom): 2.34
Crystal system: tetragonal
Total energy (eV per atom): -3.33

Entry 20:
This record from Alexandria via LeMat-Bulk describes an optimized crystal structure of LiAlSb4. The functional is PBE-GGA.

Cell: 8.8810 8.8810 8.8810 Å, 90.00 90.00 90.00°
Space group F-43m (No. 216)
Unique sites:
Li 0.0000 0.0000 0.0000
Al 0.2500 0.2500 0.2500
Sb 0.1244 0.1244 0.6244

## Properties
Formation energy without anion corrections (eV/atom): 0.21
Crystal system: cubic
Total energy (eV per atom): -3.49